Record 1
12
Lattice="3.544 0.000 0.000 0.000 3.544 0.000 0.000 0.000 10.611" Properties=species:S:1:pos:R:3 comment="GGA-PBE FeCu2Ni9, optimized geometry" space_group="P4/mmm, No. 123" formation_enthalpy_0k_ev_per_atom=-0.009 n_ef_per_ev_cell=12.952 pbc="T T T"
Fe 0.000 0.000 0.000
Cu 0.000 0.000 3.540
Cu 0.000 0.000 7.071
Ni 0.000 1.772 1.749
Ni 0.000 1.772 5.305
Ni 0.000 1.772 8.862
Ni 1.772 0.000 1.749
Ni 1.772 0.000 5.305
Ni 1.772 0.000 8.862
Ni 1.772 1.772 0.000
Ni 1.772 1.772 3.531
Ni 1.772 1.772 7.080



Record 2
9
Lattice="4.330 0.000 0.000 0.781 4.320 0.000 1.458 0.471 5.440" Properties=species:S:1:pos:R:3 comment="GGA-PBE Fe2Cu2Ni5, optimized geometry" space_group="P-1, No. 2" formation_enthalpy_0k_ev_per_atom=0.007 n_ef_per_ev_cell=9.946 pbc="T T T"
Fe 0.758 0.617 1.506
Fe 5.810 4.174 3.934
Cu 2.219 1.828 4.519
Cu 4.350 2.963 0.921
Ni 2.190 2.588 2.126
Ni 3.653 3.804 5.139
Ni 2.894 0.235 2.720
Ni 2.915 0.986 0.301
Ni 4.378 2.202 3.314



Record 3
4
Lattice="0.000 2.841 2.841 2.841 0.000 2.841 2.841 2.841 0.000" Properties=species:S:1:pos:R:3 comment="GGA-PBE FeCuNi2, optimized geometry" space_group="F-43m, No. 216" formation_enthalpy_0k_ev_per_atom=0.099 n_ef_per_ev_cell=4.608 pbc="T T T"
Fe 0.000 0.000 0.000
Cu 4.261 4.261 4.261
Ni 1.420 1.420 1.420
Ni 2.841 2.841 2.841